Record 1
First-principles (PBE) data for crystalline VCr2HRh at its relaxed geometry, as listed in Alexandria.

Cell lengths 3.7176, 3.7176, 3.8323 Å; angles 90.00, 90.00, 90.00 degrees
Last column: nearest neighbours and their distance in Å.
Space group P4/mmm (No. 123)
Symmetry-distinct sites (fractional):
V 0.0000 0.0000 0.0000 [1 per cell]  2 H 1.92
Cr 0.0000 0.5000 0.5000 [2 per cell]  2 H 1.86
H 0.0000 0.0000 0.5000 [1 per cell]  4 Cr 1.86, 2 V 1.92
Rh 0.5000 0.5000 0.0000 [1 per cell]  4 V 2.63, 8 Cr 2.67

The calculation puts the energy relative to the lowest polymorph listed for this composition at 0.00 kJ per mole of atoms. The calculation puts the spin magnetization at 0.00 Bohr magnetons per cell. As for the calculated volume: 53.0 Å³/cell. For the total energy, the calculation gives -39.19 eV per formula unit.

Record 2
First-principles (PBE) data for crystalline Ca2PrSn at its relaxed geometry, as listed in Alexandria.

Cell lengths 7.9530, 7.9530, 7.9530 Å; angles 90.00, 90.00, 90.00 degrees
Last column: nearest neighbours and their distance in Å.
Space group Fm-3m (No. 225)
Symmetry-distinct sites (fractional):
Ca 0.2500 0.2500 0.2500 [8 per cell]  4 Sn 3.44, 4 Pr 3.44
Pr 0.0000 0.0000 0.0000 [4 per cell]  8 Ca 3.44
Sn 0.0000 0.0000 0.5000 [4 per cell]  8 Ca 3.44

The calculation puts the energy relative to the lowest polymorph listed for this composition at 24.37 kJ per mole of atoms. The calculation puts the spin magnetization at 9.97 Bohr magnetons per cell. As for the calculated volume: 503.0 Å³/cell. For the total energy, the calculation gives -13.39 eV per formula unit. Its formation energy is -0.152 eV/atom.

Record 3
First-principles (PBE) data for crystalline Hg2BiPb3 at its relaxed geometry, as listed in Alexandria.

Cell lengths 6.7688, 17.2819, 6.2887 Å; angles 90.00, 90.00, 90.00 degrees
Last column: nearest neighbours and their distance in Å.
Space group Cmcm (No. 63)
Symmetry-distinct sites (fractional):
Hg 0.2374 0.0000 0.0000 [8 per cell]  3 Hg 3.14-3.21, 4 Pb 3.40-3.42
Bi 0.0000 0.1620 0.2500 [4 per cell]  8 Pb 3.29-3.57, 4 Hg 3.59
Pb 0.0000 0.3594 0.7500 [4 per cell]  4 Hg 3.40, 2 Bi 3.40, 6 Pb 3.59-3.63
Pb 0.2463 0.1754 0.7500 [8 per cell]  3 Bi 3.29-3.57, 5 Pb 3.33-3.63, 2 Hg 3.42

The calculation puts the energy relative to the lowest polymorph listed for this composition at 0.46 kJ per mole of atoms. The calculation puts the spin magnetization at 0.00 Bohr magnetons per cell. As for the calculated volume: 735.6 Å³/cell. For the total energy, the calculation gives -15.35 eV per formula unit. Its formation energy is 0.043 eV/atom.

Record 4
First-principles (PBE) data for crystalline ZrReSi at its relaxed geometry, as listed in Alexandria.

Cell lengths 3.3352, 3.3352, 5.5298 Å; angles 90.00, 90.00, 120.00 degrees
Last column: nearest neighbours and their distance in Å.
Space group P3m1 (No. 156)
Symmetry-distinct sites (fractional):
Zr 0.0000 0.0000 0.0000 [1 per cell]  3 Si 2.72, 3 Re 2.88
Re 0.6667 0.3333 0.3877 [1 per cell]  3 Si 2.42
Si 0.3333 0.6667 0.6533 [1 per cell]  3 Re 2.42

The calculation puts the spin magnetization at 0.00 Bohr magnetons per cell. As for the calculated volume: 53.3 Å³/cell. For the total energy, the calculation gives -26.52 eV per formula unit.

Record 5
First-principles (PBE) data for crystalline Te2AsBr at its relaxed geometry, as listed in Alexandria.

Cell lengths 7.3978, 7.3978, 7.3978 Å; angles 90.00, 90.00, 90.00 degrees
Last column: nearest neighbours and their distance in Å.
Space group Fm-3m (No. 225)
Symmetry-distinct sites (fractional):
Te 0.2500 0.2500 0.2500 [8 per cell]  4 As 3.20, 4 Br 3.20
As 0.0000 0.0000 0.0000 [4 per cell]  8 Te 3.20
Br 0.0000 0.0000 0.5000 [4 per cell]  8 Te 3.20

The calculation puts the energy relative to the lowest polymorph listed for this composition at 43.99 kJ per mole of atoms. The calculation puts the spin magnetization at 0.00 Bohr magnetons per cell. As for the calculated volume: 404.9 Å³/cell. For the total energy, the calculation gives -11.05 eV per formula unit.

Record 6
First-principles (PBE) data for crystalline Pm7Ag2Au2 at its relaxed geometry, as listed in Alexandria.

Cell lengths 7.6594, 10.9866, 7.8954 Å; angles 90.00, 90.00, 90.00 degrees
Last column: nearest neighbours and their distance in Å.
Space group Cmmm (No. 65)
Symmetry-distinct sites (fractional):
Pm 0.0000 0.0000 0.0000 [2 per cell]  2 Ag 3.19
Pm 0.0000 0.5000 0.2700 [4 per cell]  2 Au 3.03, 2 Ag 3.14, 4 Pm 3.35
Pm 0.2500 0.2500 0.2901 [8 per cell]  2 Ag 3.02, 2 Au 3.25, 3 Pm 3.31-3.35
Ag 0.0000 0.2902 0.0000 [4 per cell]  7 Pm 3.02-3.19
Au 0.1828 0.0000 0.5000 [4 per cell]  1 Au 2.80, 2 Pm 3.03

The calculation puts the spin magnetization at 0.00 Bohr magnetons per cell. As for the calculated volume: 664.4 Å³/cell. For the total energy, the calculation gives -46.63 eV per formula unit. Its formation energy is -0.102 eV/atom.

Record 7
First-principles (PBE) data for crystalline K2TlHAu at its relaxed geometry, as listed in Alexandria.

Cell lengths 6.1559, 6.1559, 3.7132 Å; angles 90.00, 90.00, 90.00 degrees
Last column: nearest neighbours and their distance in Å.
Space group P4/mmm (No. 123)
Symmetry-distinct sites (fractional):
K 0.0000 0.5000 0.0000 [2 per cell]  2 H 3.08
Tl 0.0000 0.0000 0.5000 [1 per cell]  8 K 3.59, 2 Tl 3.71
H 0.5000 0.5000 0.0000 [1 per cell]  2 Au 1.86
Au 0.5000 0.5000 0.5000 [1 per cell]  2 H 1.86

The calculation puts the energy relative to the lowest polymorph listed for this composition at 0.20 kJ per mole of atoms. The calculation puts the spin magnetization at 0.00 Bohr magnetons per cell. As for the calculated volume: 140.7 Å³/cell. For the total energy, the calculation gives -11.57 eV per formula unit.

Record 8
First-principles (PBE) data for crystalline Dy2CuNi at its relaxed geometry, as listed in Alexandria.

Cell lengths 3.4153, 3.4153, 6.8724 Å; angles 90.00, 90.00, 90.00 degrees
Last column: nearest neighbours and their distance in Å.
Space group P4/mmm (No. 123)
Symmetry-distinct sites (fractional):
Dy 0.0000 0.0000 0.2426 [2 per cell]  4 Ni 2.93, 4 Cu 2.99
Cu 0.5000 0.5000 0.5000 [1 per cell]  8 Dy 2.99
Ni 0.5000 0.5000 0.0000 [1 per cell]  8 Dy 2.93

The calculation puts the spin magnetization at 0.00 Bohr magnetons per cell. As for the calculated volume: 80.2 Å³/cell. For the total energy, the calculation gives -20.36 eV per formula unit. Its formation energy is -0.320 eV/atom.

Record 9
First-principles (PBE) data for crystalline TbSnBi at its relaxed geometry, as listed in Alexandria.

Cell lengths 4.5807, 16.6306, 4.4788 Å; angles 90.00, 90.00, 90.00 degrees
Last column: nearest neighbours and their distance in Å.
Space group Cmcm (No. 63)
Symmetry-distinct sites (fractional):
Tb 0.0000 0.0978 0.2500 [4 per cell]  6 Sn 3.26-3.49, 4 Bi 3.38-3.41
Sn 0.0000 0.4393 0.2500 [4 per cell]  2 Sn 3.01, 4 Tb 3.26
Bi 0.0000 0.2504 0.7500 [4 per cell]  4 Bi 3.20, 4 Tb 3.38-3.41

The calculation puts the energy relative to the lowest polymorph listed for this composition at 0.00 kJ per mole of atoms. The calculation puts the spin magnetization at 0.00 Bohr magnetons per cell. As for the calculated volume: 341.2 Å³/cell. For the total energy, the calculation gives -14.32 eV per formula unit. Its formation energy is -0.603 eV/atom.

Record 10
First-principles (PBE) data for crystalline Hf4SnN2 at its relaxed geometry, as listed in Alexandria.

Cell lengths 7.2811, 7.2811, 5.1539 Å; angles 90.00, 90.00, 90.00 degrees
Last column: nearest neighbours and their distance in Å.
Space group I4/m (No. 87)
Symmetry-distinct sites (fractional):
Hf 0.1001 0.3057 0.0000 [8 per cell]  2 N 2.05
Sn 0.0000 0.0000 0.5000 [2 per cell]  12 Hf 3.24-3.48
N 0.0000 0.5000 0.2500 [4 per cell]  4 Hf 2.05

The calculation puts the energy relative to the lowest polymorph listed for this composition at 0.00 kJ per mole of atoms. The calculation puts the spin magnetization at 0.00 Bohr magnetons per cell. As for the calculated volume: 273.2 Å³/cell. For the total energy, the calculation gives -65.68 eV per formula unit.

Record 11
First-principles (PBE) data for crystalline Tl2MoRu at its relaxed geometry, as listed in Alexandria.

Cell lengths 3.1538, 5.2165, 9.3744 Å; angles 90.00, 90.00, 90.00 degrees
Last column: nearest neighbours and their distance in Å.
Space group Cmmm (No. 65)
Symmetry-distinct sites (fractional):
Tl 0.0000 0.0000 0.2415 [4 per cell]  2 Ru 2.76, 2 Mo 2.89, 4 Tl 3.05
Mo 0.0000 0.5000 0.5000 [2 per cell]  4 Tl 2.89, 6 Mo 3.05-3.15
Ru 0.0000 0.5000 0.0000 [2 per cell]  4 Tl 2.76, 4 Ru 3.05

The calculation puts the energy relative to the lowest polymorph listed for this composition at 48.36 kJ per mole of atoms. The calculation puts the spin magnetization at 0.58 Bohr magnetons per cell. As for the calculated volume: 154.2 Å³/cell. For the total energy, the calculation gives -21.50 eV per formula unit. Its formation energy is 0.835 eV/atom.

Record 12
First-principles (PBE) data for crystalline CsU2CuS6 at its relaxed geometry, as listed in Alexandria.

Cell lengths 11.8939, 15.5481, 8.0399 Å; angles 90.00, 113.19, 90.00 degrees
Last column: nearest neighbours and their distance in Å.
Space group C2/c (No. 15)
Symmetry-distinct sites (fractional):
Cs 0.0000 0.1025 0.2500 [4 per cell]  6 S 3.59-3.63
U 0.1247 0.4111 0.1406 [8 per cell]  4 S 2.43-2.68
Cu 0.0000 0.1862 0.7500 [4 per cell]  4 S 2.28-2.30
S 0.0746 0.2699 0.0028 [8 per cell]  1 Cu 2.28, 1 U 2.43
S 0.1189 0.4419 0.4649 [8 per cell]  3 U 2.67-2.72
S 0.1517 0.0982 0.7367 [8 per cell]  1 Cu 2.30, 1 U 2.45

The calculation puts the spin magnetization at 8.00 Bohr magnetons per cell. As for the calculated volume: 1366.7 Å³/cell. For the total energy, the calculation gives -61.46 eV per formula unit.

Record 13
First-principles (PBE) data for crystalline BeGa2Ag at its relaxed geometry, as listed in Alexandria.

Cell lengths 2.9586, 2.9586, 26.8819 Å; angles 90.00, 90.00, 120.00 degrees
Last column: nearest neighbours and their distance in Å.
Space group R-3m (No. 166, hexagonal axes)
Symmetry-distinct sites (fractional):
Be 0.0000 0.0000 0.0000 [3 per cell]  2 Ga 2.25
Ga 0.0000 0.0000 0.0837 [6 per cell]  1 Be 2.25
Ag 0.0000 0.0000 0.5000 [3 per cell]  6 Ga 2.81, 6 Ag 2.96

The calculation puts the spin magnetization at 0.00 Bohr magnetons per cell. As for the calculated volume: 203.8 Å³/cell. For the total energy, the calculation gives -11.29 eV per formula unit. Its formation energy is 0.336 eV/atom.

Record 14
First-principles (PBE) data for crystalline Sr4HgAu at its relaxed geometry, as listed in Alexandria.

Cell lengths 7.8347, 7.8348, 7.7992 Å; angles 90.00, 90.10, 90.00 degrees
Last column: nearest neighbours and their distance in Å.
Space group C2/m (No. 12)
Symmetry-distinct sites (fractional):
Sr 0.2497 0.2498 0.2452 [8 per cell]  2 Au 3.36-3.37, 2 Hg 3.41
Hg 0.0000 0.0000 0.5000 [2 per cell]  8 Sr 3.41
Au 0.0000 0.5000 0.0000 [2 per cell]  8 Sr 3.36-3.37

The calculation puts the energy relative to the lowest polymorph listed for this composition at 5.83 kJ per mole of atoms. The calculation puts the spin magnetization at 0.00 Bohr magnetons per cell. As for the calculated volume: 478.7 Å³/cell. For the total energy, the calculation gives -12.62 eV per formula unit. Its formation energy is -0.385 eV/atom.